Material: CaPmSn2
Method: DFT, PBE-GGA
State: optimized geometry

The structure belongs to space group Amm2 (No. 38); the cell edges are 4.338, 4.726 and 11.651 Å and the angles 90.00°, 90.00° and 90.00°. Symmetry generates all atoms from Ca at (0.000, 0.000, 0.000), Pm at (0.500, 0.000, 0.270), Sn at (0.000, 0.000, 0.724) and Sn at (0.500, 0.000, 0.548).

The formation energy comes out at -0.70 eV/atom. The calculated volume is 119.44 Å³/f.u.